{
  "formula": "ZnNi2Mo",
  "functional": "PBE",
  "state": "optimized geometry",
  "volume_a3_per_cell": 51.3,
  "final_energy_ev_per_atom": -5.94,
  "magnetic_moment_mub_per_fu": 0.00,
  "e_form_ev_per_atom": -0.0257,
  "dos_ef_per_ev_cell": 3.3,
  "sg": "No. 6",
  "lattice": [[4.116, 0.000, 0.000], [0.000, 2.590, 0.051], [0.000, 1.198, 4.838]],
  "species": ["Mo", "Ni", "Ni", "Zn"],
  "frac_coords": [[0.500, 0.792, 0.789], [0.000, 0.195, 0.983], [0.500, 0.052, 0.275], [0.000, 0.461, 0.454]]
}